Compound: ScGeSe3
Source: Alexandria via LeMat-Bulk
Functional: SCAN
Structure: single point on PBEsol structure

Cell lengths 5.049, 5.049, 5.049 Å; angles 90.00, 90.00, 90.00 degrees
Atoms (fractional coordinates):
Se (0.000, 0.000, 0.500)
Se (0.500, 0.000, 0.000)
Se (0.000, 0.500, 0.000)
Ge (0.500, 0.500, 0.500)
Sc (0.000, 0.000, 0.000)

Results
- E_form (uncorrected): -0.3390 eV/atom

---

Compound: HfMoSI2
Source: Alexandria via LeMat-Bulk
Functional: SCAN
Structure: single point on PBEsol structure

Cell lengths 4.394, 5.409, 5.409 Å; angles 90.00, 90.00, 90.00 degrees
Each line ends with the local moment (μB).
Atoms (fractional coordinates):
I (0.000, 0.000, 0.500)  -0.03
I (0.000, 0.500, 0.000)  -0.03
Mo (0.000, 0.000, 0.000)  -0.21
Hf (0.500, 0.500, 0.500)  1.10
S (0.500, 0.000, 0.000)  0.01

Results
- E_form (uncorrected): 0.7382 eV/atom

---

Compound: K2Tl2Pd
Source: Alexandria via LeMat-Bulk
Functional: SCAN
Structure: single point on PBEsol structure

Cell lengths 5.891, 7.208, 7.208 Å; angles 90.00, 90.00, 90.00 degrees
Atoms (fractional coordinates):
Tl (0.000, 0.348, 0.848)
Tl (0.000, 0.848, 0.652)
Tl (0.000, 0.152, 0.348)
Tl (0.000, 0.652, 0.152)
K (0.500, 0.681, 0.819)
K (0.500, 0.819, 0.319)
K (0.500, 0.181, 0.681)
K (0.500, 0.319, 0.181)
Pd (0.000, 0.000, 0.000)
Pd (0.000, 0.500, 0.500)

Results
- Energy of formation: -0.129 eV/atom

---

Compound: Al3AuO
Source: Alexandria via LeMat-Bulk
Functional: SCAN
Structure: single point on PBEsol structure

Cell lengths 4.053, 4.053, 4.053 Å; angles 90.00, 90.00, 90.00 degrees
Atoms (fractional coordinates):
Al (0.000, 0.500, 0.000)
Al (0.500, 0.000, 0.000)
Al (0.000, 0.000, 0.500)
O (0.000, 0.000, 0.000)
Au (0.500, 0.500, 0.500)

Results
- E_form (uncorrected): -0.6685 eV/atom

---

Compound: NaSrLiCo2
Source: Alexandria via LeMat-Bulk
Functional: SCAN
Structure: single point on PBEsol structure

Cell lengths 4.923, 4.923, 5.450 Å; angles 90.00, 90.00, 90.00 degrees
Each line ends with the local moment (μB).
Atoms (fractional coordinates):
Co (0.500, 0.000, 0.000)  1.86
Co (0.000, 0.500, 0.000)  1.86
Li (0.000, 0.000, 0.500)  -0.01
Sr (0.000, 0.000, 0.000)  -0.08
Na (0.500, 0.500, 0.500)  0.00

Results
- Energy of formation: 1.400 eV/atom

---

Compound: MgSc2Ni
Source: Alexandria via LeMat-Bulk
Functional: SCAN
Structure: single point on PBEsol structure

Cell lengths 3.182, 4.755, 5.743 Å; angles 114.54, 106.08, 90.00 degrees
Atoms (fractional coordinates):
Mg (0.545, 0.545, 0.090)
Ni (0.253, 0.753, 0.506)
Sc (0.752, 0.252, 0.503)
Sc (0.950, 0.950, 0.901)

Results
- Energy of formation: -0.183 eV/atom

---

Compound: Cd2SbPb
Source: Alexandria via LeMat-Bulk
Functional: SCAN
Structure: single point on PBEsol structure

Cell lengths 3.209, 4.385, 7.466 Å; angles 90.00, 102.92, 90.00 degrees
Atoms (fractional coordinates):
Cd (0.941, 0.000, 0.012)
Cd (0.551, 0.500, 0.227)
Pb (0.170, 0.000, 0.461)
Sb (0.338, 0.500, 0.800)

Results
- Energy above the lowest structure with this stoichiometry: 0.0000 eV/atom
- E_form (uncorrected): 0.0540 eV/atom

---

Compound: BeRh2
Source: Alexandria via LeMat-Bulk
Functional: SCAN
Structure: single point on PBEsol structure

Cell lengths 2.705, 4.768, 5.808 Å; angles 98.37, 90.00, 106.48 degrees
Atoms (fractional coordinates):
Rh (0.686, 0.371, 0.972)
Rh (0.057, 0.115, 0.593)
Rh (0.334, 0.668, 0.685)
Rh (0.408, 0.816, 0.249)
Be (0.706, 0.412, 0.367)
Be (0.975, 0.951, 0.967)

Results
- Energy of formation: -0.340 eV/atom

---

Compound: Li4V3Cr2Fe3O16
Source: Alexandria via LeMat-Bulk
Functional: SCAN
Structure: single point on PBEsol structure

Cell lengths 5.580, 5.509, 9.461 Å; angles 90.30, 90.00, 120.43 degrees
Each line ends with the local moment (μB).
Atoms (fractional coordinates):
O (0.484, 0.520, 0.154)  -0.03
O (0.333, 0.167, 0.393)  -0.03
O (0.665, 0.329, 0.911)  0.03
O (0.006, 0.011, 0.197)  0.00
O (0.964, 0.483, 0.655)  0.03
O (0.001, 0.003, 0.696)  -0.02
O (0.519, 0.483, 0.655)  0.03
O (0.666, 0.829, 0.892)  0.01
O (0.481, 0.962, 0.157)  0.00
O (0.339, 0.678, 0.416)  -0.02
O (0.519, 0.037, 0.663)  0.06
O (0.829, 0.657, 0.393)  -0.01
O (0.037, 0.520, 0.154)  -0.03
O (0.163, 0.829, 0.892)  0.01
O (0.164, 0.328, 0.894)  0.06
O (0.834, 0.167, 0.393)  -0.03
Li (0.006, 0.012, 0.507)  0.00
Li (0.001, 0.003, 0.006)  0.00
Li (0.665, 0.330, 0.108)  0.00
Li (0.333, 0.665, 0.613)  0.01
Fe (0.186, 0.372, 0.288)  -0.32
Fe (0.826, 0.179, 0.787)  1.14
Fe (0.354, 0.179, 0.787)  1.14
Cr (0.663, 0.326, 0.513)  2.74
Cr (0.335, 0.671, 0.006)  2.73
V (0.174, 0.816, 0.288)  0.78
V (0.642, 0.816, 0.288)  0.78
V (0.814, 0.628, 0.787)  -0.32

Results
- E_form (uncorrected): -2.2589 eV/atom

---

Compound: CoSi4Ni3
Source: Alexandria via LeMat-Bulk
Functional: SCAN
Structure: single point on PBEsol structure

Cell lengths 3.271, 5.107, 5.601 Å; angles 90.15, 90.00, 90.00 degrees
Atoms (fractional coordinates):
Si (0.000, 0.323, 0.077)
Si (0.500, 0.189, 0.586)
Si (0.500, 0.675, 0.915)
Si (0.000, 0.816, 0.422)
Ni (0.500, 0.007, 0.190)
Ni (0.500, 0.508, 0.310)
Ni (0.000, 0.990, 0.812)
Co (0.000, 0.492, 0.690)

Results
- E_form (uncorrected): -0.5043 eV/atom

---

Compound: BaAl2Rh
Source: Alexandria via LeMat-Bulk
Functional: SCAN
Structure: single point on PBEsol structure

Cell lengths 4.906, 4.906, 4.906 Å; angles 60.00, 60.00, 60.00 degrees
Atoms (fractional coordinates):
Ba (0.500, 0.500, 0.500)
Rh (0.250, 0.250, 0.250)
Al (0.000, 0.000, 0.000)
Al (0.750, 0.750, 0.750)

Results
- Energy of formation: 0.191 eV/atom

---

Compound: RuPtN2
Source: Alexandria via LeMat-Bulk
Functional: SCAN
Structure: single point on PBEsol structure

Cell lengths 3.835, 3.835, 3.835 Å; angles 60.00, 60.00, 60.00 degrees
Atoms (fractional coordinates):
N (0.250, 0.250, 0.250)
N (0.750, 0.750, 0.750)
Ru (0.000, 0.000, 0.000)
Pt (0.500, 0.500, 0.500)

Results
- E_form (uncorrected): 1.5846 eV/atom

---

| no. | V (Å³/atom) | DOS(E_F) (states/eV/atom) | total energy (eV for the cell shown) |
| --- | --- | --- | --- |
| 1 | 25.7 | 0.32 | -95.26 |
| 2 | 25.7 | 0.94 | -176.98 |
| 3 | 30.6 | 0.49 | -389.59 |
| 4 | 13.3 | 0.29 | -101.99 |
| 5 | 26.4 | 0.53 | -56.49 |
| 6 | 18.8 | 0.85 | -50.35 |
| 7 | 25.6 | 0.33 | -173.65 |
| 8 | 11.8 | 0.67 | -145.83 |
| 9 | 9.0 | 0.00 | -316.13 |
| 10 | 11.7 | 0.27 | -109.92 |
| 11 | 20.9 | 0.68 | -88.06 |
| 12 | 10.0 | 0.64 | -117.26 |